# 1
A relaxed structure of DyY2Th2. Source: Alexandria via LeMat-Bulk, functional PBE.

For the total energy, the calculation gives -6.403 eV per atom. The calculation puts the calculated formation energy at 0.35 eV per formula unit. Its magnetization is 0.00 μB per formula unit. The offset from the most stable computed form comes out at 0 meV/atom.

Cell and atoms, written as CIF:
```
data_DyY2Th2
_chemical_formula_sum 'Dy2 Y4 Th4'
_cell_length_a 3.510
_cell_length_b 5.810
_cell_length_c 15.958
_cell_angle_alpha 90.00
_cell_angle_beta 90.00
_cell_angle_gamma 90.00
_symmetry_space_group_name_H-M 'I m m m'
_symmetry_Int_Tables_number 71
_symmetry_space_group_name_Hall '-I 2 2'
loop_
_atom_site_label
_atom_site_type_symbol
_atom_site_fract_x
_atom_site_fract_y
_atom_site_fract_z
Dy1 Dy 0.000 0.000 0.000
Y1 Y 0.000 0.000 0.399
Th1 Th 0.000 0.500 0.288
```



# 2
A relaxed structure of SrGaRe2Sn. Source: Alexandria via LeMat-Bulk, functional PBE.

For the total energy, the calculation gives -5.484 eV per atom. The calculation puts the calculated formation energy at 6.19 eV per formula unit. Its magnetization is 3.13 μB per formula unit.

Cell and atoms, written as CIF:
```
data_SrGaRe2Sn
_chemical_formula_sum 'Sr1 Ga1 Re2 Sn1'
_cell_length_a 4.812
_cell_length_b 4.812
_cell_length_c 5.182
_cell_angle_alpha 90.00
_cell_angle_beta 90.00
_cell_angle_gamma 90.00
_symmetry_space_group_name_H-M 'P 4/m m m'
_symmetry_Int_Tables_number 123
_symmetry_space_group_name_Hall '-P 4 2'
loop_
_atom_site_label
_atom_site_type_symbol
_atom_site_fract_x
_atom_site_fract_y
_atom_site_fract_z
Sr1 Sr 0.000 0.000 0.000
Ga1 Ga 0.500 0.500 0.500
Re1 Re 0.000 0.500 0.500
Sn1 Sn 0.500 0.500 0.000
```



# 3
A relaxed structure of NaNbAsO6. Source: Alexandria via LeMat-Bulk, functional PBE.

For the total energy, the calculation gives -6.712 eV per atom. Its magnetization is 1.06 μB per formula unit. The calculation puts the uncorrected formation energy at -1.62 eV per atom.

Cell and atoms, written as CIF:
```
data_NaNbAsO6
_chemical_formula_sum 'Na2 Nb2 As2 O12'
_cell_length_a 5.2289
_cell_length_b 5.2289
_cell_length_c 10.1443
_cell_angle_alpha 90.00
_cell_angle_beta 90.00
_cell_angle_gamma 120.00
_symmetry_space_group_name_H-M 'P -3 1 c'
_symmetry_Int_Tables_number 163
_symmetry_space_group_name_Hall '-P 3 2c'
loop_
_atom_site_label
_atom_site_type_symbol
_atom_site_fract_x
_atom_site_fract_y
_atom_site_fract_z
Na1 Na 0.0000 0.0000 0.0000
Nb1 Nb 0.3333 0.6667 0.2500
As1 As 0.3333 0.6667 0.7500
O1 O 0.0230 0.3930 0.6467
```



The highest magnetization belongs to which entry?
SrGaRe2Sn



What did the third record say?
A relaxed structure of NaNbAsO6. Source: Alexandria via LeMat-Bulk, functional PBE.

For the total energy, the calculation gives -6.712 eV per atom. Its magnetization is 1.06 μB per formula unit. The calculation puts the uncorrected formation energy at -1.62 eV per atom.

Cell and atoms, written as CIF:
```
data_NaNbAsO6
_chemical_formula_sum 'Na2 Nb2 As2 O12'
_cell_length_a 5.2289
_cell_length_b 5.2289
_cell_length_c 10.1443
_cell_angle_alpha 90.00
_cell_angle_beta 90.00
_cell_angle_gamma 120.00
_symmetry_space_group_name_H-M 'P -3 1 c'
_symmetry_Int_Tables_number 163
_symmetry_space_group_name_Hall '-P 3 2c'
loop_
_atom_site_label
_atom_site_type_symbol
_atom_site_fract_x
_atom_site_fract_y
_atom_site_fract_z
Na1 Na 0.0000 0.0000 0.0000
Nb1 Nb 0.3333 0.6667 0.2500
As1 As 0.3333 0.6667 0.7500
O1 O 0.0230 0.3930 0.6467
```